(1)
BaAc2Nd | Alexandria | PBE | optimized geometry; volume = 181.2 Å³/f.u.; mass density = 6.74 Mg/m³
1.0
3.994 0.000 0.000
1.997 3.459 0.000
1.997 1.153 13.118
Ba Ac Nd
1 2 1
direct
0.667 0.667 0.999 Ba
0.090 0.090 0.730 Ac
0.243 0.243 0.271 Ac
0.500 0.500 0.500 Nd

---

(2)
BaAc2Nd | Alexandria | PBE | optimized geometry; volume = 184.3 Å³/f.u.; mass density = 6.63 Mg/m³
1.0
3.915 0.000 0.000
1.957 3.390 0.000
1.957 1.130 13.885
Ac Nd Ba
2 1 1
direct
0.093 0.093 0.720 Ac
0.907 0.907 0.280 Ac
0.500 0.500 0.500 Nd
0.000 0.000 0.000 Ba

---

(3)
BaAc2Nd | Alexandria | PBE | optimized geometry; volume = 178.5 Å³/f.u.; mass density = 6.84 Mg/m³
1.0
5.622 0.000 0.000
0.000 5.636 0.000
0.000 0.000 5.636
Ac Nd Ba
2 1 1
direct
0.000 0.000 0.500 Ac
0.000 0.500 0.000 Ac
0.500 0.500 0.500 Nd
0.500 0.000 0.000 Ba

---

(4)
BaAc2Nd | Alexandria | PBE | optimized geometry; volume = 181.5 Å³/f.u.; mass density = 6.73 Mg/m³
1.0
3.983 0.000 0.000
0.000 3.983 0.000
0.000 0.000 11.439
Ac Nd Ba
2 1 1
direct
0.000 0.000 0.779 Ac
0.000 0.000 0.221 Ac
0.500 0.500 0.000 Nd
0.500 0.500 0.500 Ba

---

Energy comparison, zero being the most stable, in kJ/mol of atoms: (1) 1.4; (2) 9.2; (3) 7.2; (4) 0.0.